Ac12TlCo5: relaxed, PBE-GGA.

Summary:
As for the space group: Immm, No. 71. The calculation puts the calculated formation energy at -0.060 eV/atom. The total magnetization comes out at 0.0 μB per cell. The final energy comes out at -4.904 eV per atom.

a b c (Å): 9.1652 9.1652 9.1652
angles (deg): 110.27 109.45 108.70
With the nearest neighbours (Å) after each atom.
Atoms (fractional coordinates):
Ac  0.0040  0.1901  0.8139  2 Co 2.83-2.92
Ac  0.1853  0.3101  0.4954  2 Co 3.03
Ac  0.1853  0.6899  0.8753  2 Co 3.03
Ac  0.3188  0.0053  0.6866  3 Co 2.97-3.01
Ac  0.3188  0.6322  0.3134  3 Co 2.97-3.01
Ac  0.3763  0.1901  0.1861  2 Co 2.83-2.92
Ac  0.6237  0.8099  0.8139  2 Co 2.83-2.92
Ac  0.6812  0.3678  0.6866  3 Co 2.97-3.01
Ac  0.6812  0.9947  0.3134  3 Co 2.97-3.01
Ac  0.8147  0.3101  0.1247  2 Co 3.03
Ac  0.8147  0.6899  0.5046  2 Co 3.03
Ac  0.9960  0.8099  0.1861  2 Co 2.83-2.92
Tl  0.5000  0.5000  0.0000  12 Ac 3.81-3.88
Co  0.0000  0.0000  0.0000  4 Ac 2.83
Co  0.1091  0.6091  0.5000  1 Co 2.33
Co  0.3847  0.0000  0.3847  1 Co 2.44
Co  0.6153  0.0000  0.6153  1 Co 2.44
Co  0.8909  0.3909  0.5000  1 Co 2.33